1.
{
  "formula": "Te3HSe",
  "functional": "PBE-GGA",
  "state": "optimized geometry",
  "cell": [[-4.208, 2.011, 0.963], [-2.002, -2.501, -3.524], [-0.982, -3.519, 3.055]],
  "species": ["H", "Te", "Te", "Te", "Se"],
  "frac_coords": [[0.000, 0.000, 0.000], [0.000, 0.500, 0.000], [0.000, 0.000, 0.500], [0.500, 0.000, 0.000], [0.500, 0.500, 0.500]],
  "n_ef_per_ev_cell": 4.052,
  "space_group": "Pm-3m (221)",
  "e_above_lowest_polymorph_ev_per_atom": 0.000
}


2.
{
  "formula": "Te3HSe",
  "functional": "PBE-GGA",
  "state": "optimized geometry",
  "cell": [[-4.129, -1.478, -3.395], [-0.831, -4.586, 3.008], [-3.608, 2.748, 3.192]],
  "species": ["H", "Te", "Te", "Te", "Se"],
  "frac_coords": [[0.500, 0.500, 0.500], [0.000, 0.500, 0.000], [0.000, 0.000, 0.500], [0.500, 0.000, 0.000], [0.000, 0.000, 0.000]],
  "n_ef_per_ev_cell": 5.181,
  "space_group": "Pm-3m (221)",
  "e_above_lowest_polymorph_ev_per_atom": 0.304
}


3.
{
  "formula": "Tm2TeH2Se",
  "functional": "PBE-GGA",
  "state": "optimized geometry",
  "cell": [[-1.036, -1.409, 3.428], [-2.298, -0.477, -3.051], [3.761, -6.997, -1.740]],
  "species": ["Tm", "Tm", "Te", "H", "H", "Se"],
  "frac_coords": [[0.333, 0.667, 0.735], [0.667, 0.333, 0.265], [0.000, 0.000, 0.000], [0.333, 0.667, 0.257], [0.667, 0.333, 0.743], [0.000, 0.000, 0.500]],
  "energy_ha_per_atom": -0.1814,
  "n_ef_per_ev_cell": 0.000,
  "space_group": "P-3m1 (164)"
}


4.
{
  "formula": "U2TeH2Se2",
  "functional": "PBE-GGA",
  "state": "optimized geometry",
  "cell": [[3.912, 0.000, 0.000], [1.956, 3.388, 0.000], [1.956, 1.129, 11.278]],
  "species": ["U", "U", "Te", "H", "H", "Se", "Se"],
  "frac_coords": [[0.732, 0.732, 0.803], [0.268, 0.268, 0.197], [0.000, 0.000, 0.000], [0.606, 0.606, 0.182], [0.394, 0.394, 0.818], [0.116, 0.116, 0.653], [0.884, 0.884, 0.347]],
  "energy_ha_per_atom": -0.2355,
  "n_ef_per_ev_cell": 8.833,
  "space_group": "R-3m (166)"
}


5.
{
  "formula": "VTeHSe",
  "functional": "PBE-GGA",
  "state": "optimized geometry",
  "cell": [[-3.177, 1.080, 0.127], [1.476, -1.178, 2.777], [3.983, 6.427, 0.597]],
  "species": ["V", "Te", "H", "Se"],
  "frac_coords": [[0.831, 0.280, 0.111], [0.340, 0.035, 0.375], [0.505, 0.617, 0.122], [0.016, 0.872, 0.888]],
  "energy_ha_per_atom": -0.1900,
  "space_group": "Cm (8)"
}


6.
{
  "formula": "Y2TeH2Se",
  "functional": "PBE-GGA",
  "state": "optimized geometry",
  "cell": [[-0.555, -1.174, 3.696], [-2.440, -1.195, -2.822], [4.778, -6.545, -1.360]],
  "species": ["Y", "Y", "Te", "H", "H", "Se"],
  "frac_coords": [[0.333, 0.667, 0.735], [0.667, 0.333, 0.265], [0.000, 0.000, 0.000], [0.333, 0.667, 0.257], [0.667, 0.333, 0.743], [0.000, 0.000, 0.500]],
  "energy_ha_per_atom": -0.2075,
  "n_ef_per_ev_cell": 0.000,
  "space_group": "P-3m1 (164)"
}